Entry i
Entry from Alexandria via LeMat-Bulk: a relaxed BeTeAu2 crystal (PBE-GGA).

Geometry as POSCAR:
```
BeTeAu2
1.0
5.915 0.000 0.000
0.000 6.967 0.000
0.000 0.000 3.901
Be Te Au
2 2 4
direct
0.000 0.000 0.000
0.500 0.500 0.000
0.000 0.500 0.000
0.500 0.000 0.000
0.000 0.196 0.500
0.000 0.804 0.500
0.500 0.304 0.500
0.500 0.696 0.500
```

Values from the calculation:
**Density**: 10.96 Mg/m³
**Symmetry**: No. 65
**Crystal system**: orthorhombic
**D(E_F)**: 0.305 states/eV/atom

Entry ii
Entry from Alexandria via LeMat-Bulk: a relaxed BeTeAu2 crystal (PBE-GGA).

Geometry as POSCAR:
```
BeTeAu2
1.0
4.232 0.000 0.000
0.000 4.232 0.000
0.000 0.000 8.367
Be Te Au
2 2 4
direct
0.000 0.000 0.000
0.500 0.500 0.500
0.000 0.500 0.750
0.500 0.000 0.250
0.000 0.000 0.500
0.000 0.500 0.250
0.500 0.000 0.750
0.500 0.500 0.000
```

Values from the calculation:
**Density**: 11.76 Mg/m³
**Symmetry**: No. 119
**Crystal system**: tetragonal
**D(E_F)**: 0.461 states/eV/atom

Most stable to least stable, the ends of the list are entry i and entry ii.

Entry i
Entry from Alexandria via LeMat-Bulk: a relaxed BeTeAu2 crystal (PBE-GGA).

Geometry as POSCAR:
```
BeTeAu2
1.0
3.847 0.000 0.000
0.000 3.847 0.000
0.000 0.000 5.243
Be Te Au
1 1 2
direct
0.000 0.000 0.000
0.500 0.500 0.000
0.000 0.500 0.500
0.500 0.000 0.500
```

Values from the calculation:
**Density**: 11.35 Mg/m³
**Symmetry**: No. 123
**Crystal system**: tetragonal
**D(E_F)**: 0.221 states/eV/atom

Entry ii
Entry from Alexandria via LeMat-Bulk: a relaxed BeTeAu2 crystal (PBE-GGA).

Geometry as POSCAR:
```
BeTeAu2
1.0
3.714 0.000 0.000
0.000 5.148 0.000
0.000 0.000 8.060
Be Te Au
2 2 4
direct
0.000 0.000 0.000
0.500 0.500 0.500
0.000 0.500 0.290
0.500 0.000 0.790
0.000 0.000 0.469
0.000 0.500 0.683
0.500 0.000 0.183
0.500 0.500 0.969
```

Values from the calculation:
**Density**: 11.44 Mg/m³
**Symmetry**: No. 44
**Crystal system**: orthorhombic
**D(E_F)**: 0.268 states/eV/atom

Entry iii
Entry from Alexandria via LeMat-Bulk: a relaxed BeTeAu2 crystal (PBE-GGA).

Geometry as POSCAR:
```
BeTeAu2
1.0
3.046 0.000 0.000
0.000 3.714 0.000
0.000 0.000 6.846
Be Te Au
1 1 2
direct
0.000 0.000 0.000
0.500 0.500 0.339
0.000 0.000 0.657
0.500 0.500 0.918
```

Values from the calculation:
**Density**: 11.37 Mg/m³
**Symmetry**: No. 25
**Crystal system**: orthorhombic
**D(E_F)**: 0.402 states/eV/atom

Entry iv
Entry from Alexandria via LeMat-Bulk: a relaxed BeTeAu2 crystal (PBE-GGA).

Geometry as POSCAR:
```
BeTeAu2
1.0
2.934 0.000 0.000
0.000 2.934 0.000
0.000 0.000 9.094
Be Te Au
1 1 2
direct
0.000 0.000 0.000
0.000 0.000 0.500
0.500 0.500 0.164
0.500 0.500 0.836
```

Values from the calculation:
**Density**: 11.25 Mg/m³
**Symmetry**: No. 123
**Crystal system**: tetragonal
**D(E_F)**: 0.537 states/eV/atom

Most stable to least stable, the ends of the list are entry iv and entry i.

Entry i
Entry from Alexandria via LeMat-Bulk: a relaxed BeTe3Au crystal (PBE-GGA).

Geometry as POSCAR:
```
BeTe3Au
1.0
4.956 0.000 0.000
0.000 4.956 0.000
0.000 0.000 4.956
Be Te Au
1 3 1
direct
0.000 0.000 0.000
0.000 0.000 0.500
0.000 0.500 0.000
0.500 0.000 0.000
0.500 0.500 0.500
```

Values from the calculation:
**Density**: 8.03 Mg/m³
**Symmetry**: No. 221
**Crystal system**: cubic
**D(E_F)**: 0.961 states/eV/atom

Entry ii
Entry from Alexandria via LeMat-Bulk: a relaxed BeTe3Au crystal (PBE-GGA).

Geometry as POSCAR:
```
BeTe3Au
1.0
5.432 0.000 0.000
0.000 5.432 0.000
0.000 0.000 5.432
Be Te Au
1 3 1
direct
0.000 0.000 0.000
0.000 0.500 0.500
0.500 0.000 0.500
0.500 0.500 0.000
0.500 0.500 0.500
```

Values from the calculation:
**Density**: 6.10 Mg/m³
**Symmetry**: No. 221
**Crystal system**: cubic
**D(E_F)**: 1.463 states/eV/atom

Most stable to least stable, the ends of the list are entry i and entry ii.

Entry i
Entry from Alexandria via LeMat-Bulk: a relaxed Th2BeAu crystal (PBE-GGA).

Geometry as POSCAR:
```
Th2BeAu
1.0
3.433 0.000 0.000
0.000 3.433 0.000
0.000 0.000 7.966
Th Be Au
2 1 1
direct
0.000 0.000 0.230
0.000 0.000 0.770
0.500 0.500 0.000
0.500 0.500 0.500
```

Values from the calculation:
**Density**: 11.85 Mg/m³
**Symmetry**: No. 123
**Crystal system**: tetragonal
**D(E_F)**: 0.888 states/eV/atom

Entry ii
Entry from Alexandria via LeMat-Bulk: a relaxed Th2BeAu crystal (PBE-GGA).

Geometry as POSCAR:
```
Th2BeAu
1.0
3.391 0.000 0.000
-1.695 2.937 0.000
0.000 0.000 32.931
Th Be Au
6 3 3
direct
0.000 0.000 0.091
0.000 0.000 0.909
0.333 0.667 0.575
0.333 0.667 0.758
0.667 0.333 0.242
0.667 0.333 0.425
0.000 0.000 0.000
0.333 0.667 0.667
0.667 0.333 0.333
0.000 0.000 0.500
0.333 0.667 0.167
0.667 0.333 0.833
```

Values from the calculation:
**Density**: 10.18 Mg/m³
**Symmetry**: No. 166
**Crystal system**: trigonal
**D(E_F)**: 1.355 states/eV/atom

Most stable to least stable, the ends of the list are entry i and entry ii.

Entry i
Entry from Alexandria via LeMat-Bulk: a relaxed TiBe3Au crystal (PBE-GGA).

Geometry as POSCAR:
```
TiBe3Au
1.0
4.346 0.000 0.000
0.000 4.346 0.000
0.000 0.000 4.346
Ti Be Au
1 3 1
direct
0.000 0.000 0.000
0.000 0.000 0.500
0.000 0.500 0.000
0.500 0.000 0.000
0.500 0.500 0.500
```

Values from the calculation:
**Density**: 5.50 Mg/m³
**Symmetry**: No. 221
**Crystal system**: cubic
**D(E_F)**: 0.887 states/eV/atom

Entry ii
Entry from Alexandria via LeMat-Bulk: a relaxed TiBe3Au crystal (PBE-GGA).

Geometry as POSCAR:
```
TiBe3Au
1.0
4.237 0.000 0.000
0.000 4.237 0.000
0.000 0.000 4.237
Ti Be Au
1 3 1
direct
0.000 0.000 0.000
0.000 0.500 0.500
0.500 0.000 0.500
0.500 0.500 0.000
0.500 0.500 0.500
```

Values from the calculation:
**Density**: 5.94 Mg/m³
**Symmetry**: No. 221
**Crystal system**: cubic
**D(E_F)**: 1.071 states/eV/atom

Most stable to least stable, the ends of the list are entry ii and entry i.

Entry i
Entry from Alexandria via LeMat-Bulk: a relaxed TiBe2Au2 crystal (PBE-GGA).

Geometry as POSCAR:
```
TiBe2Au2
1.0
7.209 0.000 0.000
0.000 7.209 0.000
0.000 0.000 2.743
Ti Be Au
2 4 4
direct
0.000 0.000 0.000
0.500 0.500 0.000
0.160 0.340 0.500
0.340 0.840 0.500
0.660 0.160 0.500
0.840 0.660 0.500
0.140 0.640 0.000
0.360 0.140 0.000
0.640 0.860 0.000
0.860 0.360 0.000
```

Values from the calculation:
**Density**: 10.71 Mg/m³
**Symmetry**: No. 127
**Crystal system**: tetragonal
**D(E_F)**: 0.758 states/eV/atom

Entry ii
Entry from Alexandria via LeMat-Bulk: a relaxed TiBe2Au2 crystal (PBE-GGA).

Geometry as POSCAR:
```
TiBe2Au2
1.0
7.009 0.000 0.000
0.000 7.009 0.000
0.000 0.000 2.797
Ti Be Au
2 4 4
direct
0.000 0.000 0.000
0.500 0.500 0.000
0.121 0.379 0.000
0.379 0.879 0.000
0.621 0.121 0.000
0.879 0.621 0.000
0.174 0.674 0.500
0.326 0.174 0.500
0.674 0.826 0.500
0.826 0.326 0.500
```

Values from the calculation:
**Density**: 11.11 Mg/m³
**Symmetry**: No. 127
**Crystal system**: tetragonal
**D(E_F)**: 0.734 states/eV/atom

Most stable to least stable, the ends of the list are entry ii and entry i.